# 1
Entry from Alexandria: a geometry-optimized SrYAs3 structure (PBE).

Unit cell a=5.3894 b=5.3894 c=5.3894 alpha=90.00 beta=90.00 gamma=90.00
Fractional coordinates of all 5 atoms:
Sr (0.0000, 0.0000, 0.0000)
Y (0.5000, 0.5000, 0.5000)
As (0.0000, 0.0000, 0.5000)
As (0.0000, 0.5000, 0.0000)
As (0.5000, 0.0000, 0.0000)

Computed properties:
Space group   Pm-3m, No. 221
Energy above the most stable polymorph in this dataset   825 meV per atom

# 2
Entry from Alexandria: a geometry-optimized KAu structure (PBE).

Unit cell a=9.2512 b=9.2512 c=9.2512 alpha=90.00 beta=90.00 gamma=90.00
Fractional coordinates of all 12 atoms:
K (0.0000, 0.2500, 0.5000)
K (0.0000, 0.7500, 0.5000)
K (0.2500, 0.5000, 0.0000)
K (0.5000, 0.0000, 0.2500)
K (0.5000, 0.0000, 0.7500)
K (0.7500, 0.5000, 0.0000)
Au (0.0000, 0.5000, 0.2500)
Au (0.0000, 0.5000, 0.7500)
Au (0.2500, 0.0000, 0.5000)
Au (0.5000, 0.2500, 0.0000)
Au (0.5000, 0.7500, 0.0000)
Au (0.7500, 0.0000, 0.5000)

Computed properties:
Space group   Pm-3n, No. 223
E_tot   -2.33 eV/atom

# 3
Entry from Alexandria: a geometry-optimized La8Cd2Ag structure (PBE).

Unit cell a=9.9190 b=9.9190 c=7.1954 alpha=104.19 beta=104.19 gamma=32.02
Fractional coordinates of all 11 atoms:
La (0.0162, 0.0162, 0.2683)
La (0.2014, 0.2014, 0.7862)
La (0.3392, 0.3392, 0.5347)
La (0.4093, 0.4093, 0.0456)
La (0.5907, 0.5907, 0.9544)
La (0.6608, 0.6608, 0.4653)
La (0.7986, 0.7986, 0.2138)
La (0.9838, 0.9838, 0.7317)
Cd (0.1822, 0.1822, 0.2182)
Cd (0.8178, 0.8178, 0.7818)
Ag (0.5000, 0.5000, 0.5000)

Computed properties:
Space group   C2/m, No. 12
Energy above the most stable polymorph in this dataset   0 meV per atom

# 4
Entry from Alexandria: a geometry-optimized TlMoCl structure (PBE).

Unit cell a=8.8417 b=8.5509 c=3.1312 alpha=84.91 beta=74.43 gamma=20.66
Fractional coordinates of all 3 atoms:
Tl (0.0000, 0.0000, 0.0000)
Mo (0.6567, 0.6567, 0.3433)
Cl (0.2664, 0.2664, 0.7336)

Computed properties:
Uncorrected formation energy   0.32 eV/atom
Space group   Fmm2, No. 42
Energy above the most stable polymorph in this dataset   158 meV per atom

# 5
Entry from Alexandria: a geometry-optimized CsTl2In4 structure (PBE).

Unit cell a=10.3157 b=10.3157 c=10.3157 alpha=30.15 beta=30.15 gamma=30.15
Fractional coordinates of all 7 atoms:
Cs (0.0000, 0.0000, 0.0000)
Tl (0.2511, 0.2511, 0.2511)
Tl (0.7489, 0.7489, 0.7489)
In (0.1423, 0.1423, 0.1423)
In (0.4461, 0.4461, 0.4461)
In (0.5539, 0.5539, 0.5539)
In (0.8577, 0.8577, 0.8577)

Computed properties:
Space group   R-3m, No. 166
Energy above the most stable polymorph in this dataset   0 meV per atom

# 6
Entry from Alexandria: a geometry-optimized MgAlTc2C structure (PBE).

Unit cell a=4.0853 b=4.0853 c=4.1766 alpha=90.00 beta=90.00 gamma=90.00
Fractional coordinates of all 5 atoms:
Mg (0.0000, 0.0000, 0.0000)
Al (0.5000, 0.5000, 0.0000)
Tc (0.0000, 0.5000, 0.5000)
Tc (0.5000, 0.0000, 0.5000)
C (0.0000, 0.0000, 0.5000)

Computed properties:
Space group   P4/mmm, No. 123
E_tot   -6.99 eV/atom

# 7
Entry from Alexandria: a geometry-optimized Y2RuSe structure (PBE).

Unit cell a=4.8986 b=4.8986 c=4.8986 alpha=60.00 beta=60.00 gamma=60.00
Fractional coordinates of all 4 atoms:
Y (0.0000, 0.0000, 0.0000)
Y (0.2500, 0.2500, 0.2500)
Ru (0.5000, 0.5000, 0.5000)
Se (0.7500, 0.7500, 0.7500)

Computed properties:
Uncorrected formation energy   -0.12 eV/atom
Space group   F-43m, No. 216

# 8
Entry from Alexandria: a geometry-optimized Pu3CuO structure (PBE).

Unit cell a=4.7896 b=4.7896 c=4.7896 alpha=90.00 beta=90.00 gamma=90.00
Fractional coordinates of all 5 atoms:
Pu (0.0000, 0.0000, 0.5000)
Pu (0.0000, 0.5000, 0.0000)
Pu (0.5000, 0.0000, 0.0000)
Cu (0.5000, 0.5000, 0.5000)
O (0.0000, 0.0000, 0.0000)

Computed properties:
Uncorrected formation energy   -0.70 eV/atom
Space group   Pm-3m, No. 221

# 9
Entry from Alexandria: a geometry-optimized Ba3VI structure (PBE).

Unit cell a=6.3346 b=6.3346 c=6.3346 alpha=90.00 beta=90.00 gamma=90.00
Fractional coordinates of all 5 atoms:
Ba (0.0000, 0.0000, 0.5000)
Ba (0.0000, 0.5000, 0.0000)
Ba (0.5000, 0.0000, 0.0000)
V (0.0000, 0.0000, 0.0000)
I (0.5000, 0.5000, 0.5000)

Computed properties:
Uncorrected formation energy   0.21 eV/atom
Space group   Pm-3m, No. 221
Energy above the most stable polymorph in this dataset   0 meV per atom

# 10
Entry from Alexandria: a geometry-optimized Cu4ReIr structure (PBE).

Unit cell a=4.7377 b=4.7377 c=4.7377 alpha=60.00 beta=60.00 gamma=60.00
Fractional coordinates of all 6 atoms:
Cu (0.1252, 0.1252, 0.1252)
Cu (0.1252, 0.1252, 0.6245)
Cu (0.1252, 0.6245, 0.1252)
Cu (0.6245, 0.1252, 0.1252)
Re (0.5000, 0.5000, 0.5000)
Ir (0.7500, 0.7500, 0.7500)

Computed properties:
Space group   F-43m, No. 216
E_tot   -6.00 eV/atom

# 11
Entry from Alexandria: a geometry-optimized FeTe3C structure (PBE).

Unit cell a=4.6506 b=4.6506 c=4.6506 alpha=90.00 beta=90.00 gamma=90.00
Fractional coordinates of all 5 atoms:
Fe (0.0000, 0.0000, 0.0000)
Te (0.0000, 0.5000, 0.5000)
Te (0.5000, 0.0000, 0.5000)
Te (0.5000, 0.5000, 0.0000)
C (0.5000, 0.5000, 0.5000)

Computed properties:
Uncorrected formation energy   1.47 eV/atom
Space group   Pm-3m, No. 221
Energy above the most stable polymorph in this dataset   0 meV per atom

# 12
Entry from Alexandria: a geometry-optimized BaMn2Mo structure (PBE).

Unit cell a=3.6093 b=4.7337 c=4.7656 alpha=90.00 beta=90.00 gamma=90.00
Fractional coordinates of all 4 atoms:
Ba (0.0000, 0.0000, 0.0000)
Mn (0.0000, 0.5000, 0.5000)
Mn (0.5000, 0.0000, 0.5000)
Mo (0.5000, 0.5000, 0.0000)

Computed properties:
Space group   Pmmm, No. 47
Energy above the most stable polymorph in this dataset   723 meV per atom

# 13
Entry from Alexandria: a geometry-optimized TbPr3Os structure (PBE).

Unit cell a=5.6423 b=5.6423 c=5.6423 alpha=90.00 beta=90.00 gamma=90.00
Fractional coordinates of all 5 atoms:
Tb (0.0000, 0.0000, 0.0000)
Pr (0.0000, 0.5000, 0.5000)
Pr (0.5000, 0.0000, 0.5000)
Pr (0.5000, 0.5000, 0.0000)
Os (0.5000, 0.5000, 0.5000)

Computed properties:
Space group   Pm-3m, No. 221
E_tot   -5.86 eV/atom

# 14
Entry from Alexandria: a geometry-optimized Sc2FeNi4 structure (PBE).

Unit cell a=7.1566 b=7.1566 c=7.1566 alpha=145.45 beta=145.45 gamma=49.66
Fractional coordinates of all 7 atoms:
Sc (0.1350, 0.1350, 0.0000)
Sc (0.8650, 0.8650, 0.0000)
Fe (0.5000, 0.5000, 0.0000)
Ni (0.0000, 0.5000, 0.5000)
Ni (0.3255, 0.3255, 0.0000)
Ni (0.5000, 0.0000, 0.5000)
Ni (0.6745, 0.6745, 0.0000)

Computed properties:
Space group   I4/mmm, No. 139
E_tot   -6.02 eV/atom

# 15
Entry from Alexandria: a geometry-optimized LiSmMgSc structure (PBE).

Unit cell a=5.2185 b=5.2185 c=5.2185 alpha=60.00 beta=60.00 gamma=60.00
Fractional coordinates of all 4 atoms:
Li (0.0000, 0.0000, 0.0000)
Sm (0.7500, 0.7500, 0.7500)
Mg (0.5000, 0.5000, 0.5000)
Sc (0.2500, 0.2500, 0.2500)

Computed properties:
Space group   F-43m, No. 216
E_tot   -3.57 eV/atom

# 16
Entry from Alexandria: a geometry-optimized Er2PaGa structure (PBE).

Unit cell a=4.6835 b=4.6835 c=4.4714 alpha=90.00 beta=90.00 gamma=90.00
Fractional coordinates of all 4 atoms:
Er (0.0000, 0.5000, 0.0000)
Er (0.5000, 0.0000, 0.0000)
Pa (0.0000, 0.0000, 0.5000)
Ga (0.5000, 0.5000, 0.5000)

Computed properties:
Space group   P4/mmm, No. 123
Energy above the most stable polymorph in this dataset   110 meV per atom

# 17
Entry from Alexandria: a geometry-optimized VCr2TcH structure (PBE).

Unit cell a=3.6485 b=3.6485 c=4.0456 alpha=90.00 beta=90.00 gamma=90.00
Fractional coordinates of all 5 atoms:
V (0.0000, 0.0000, 0.0000)
Cr (0.0000, 0.5000, 0.5000)
Cr (0.5000, 0.0000, 0.5000)
Tc (0.5000, 0.5000, 0.0000)
H (0.0000, 0.0000, 0.5000)

Computed properties:
Space group   P4/mmm, No. 123
E_tot   -8.31 eV/atom

# 18
Entry from Alexandria: a geometry-optimized KMgIn2Pb2 structure (PBE).

Unit cell a=5.1432 b=5.1432 c=8.4348 alpha=90.00 beta=90.00 gamma=120.00
Fractional coordinates of all 6 atoms:
K (0.0000, 0.0000, 0.0000)
Mg (0.0000, 0.0000, 0.5000)
In (0.3333, 0.6667, 0.3656)
In (0.6667, 0.3333, 0.6344)
Pb (0.3333, 0.6667, 0.7469)
Pb (0.6667, 0.3333, 0.2531)

Computed properties:
Space group   P-3m1, No. 164
E_tot   -2.67 eV/atom

# 19
Entry from Alexandria: a geometry-optimized ZrAg2Au structure (PBE).

Unit cell a=5.2933 b=5.2933 c=2.9041 alpha=90.00 beta=90.00 gamma=110.08
Fractional coordinates of all 4 atoms:
Zr (0.0000, 0.0000, 0.0000)
Ag (0.0000, 0.5000, 0.5000)
Ag (0.5000, 0.0000, 0.5000)
Au (0.5000, 0.5000, 0.0000)

Computed properties:
Space group   Cmmm, No. 65
Energy above the most stable polymorph in this dataset   245 meV per atom

# 20
Entry from Alexandria: a geometry-optimized AlMo3 structure (PBE).

Unit cell a=4.3255 b=4.3255 c=3.3215 alpha=90.00 beta=90.00 gamma=90.00
Fractional coordinates of all 4 atoms:
Al (0.0000, 0.0000, 0.0000)
Mo (0.0000, 0.5000, 0.5000)
Mo (0.5000, 0.0000, 0.5000)
Mo (0.5000, 0.5000, 0.0000)

Computed properties:
Space group   P4/mmm, No. 123
Energy above the most stable polymorph in this dataset   250 meV per atom